No. 1
This record from Alexandria describes an optimized crystal structure of SrSbTe2I. The functional is PBE-GGA.

For the uncorrected formation energy, the calculation gives 121.4 meV/atom. Its volume is 199.1 Å³/cell.

a b c (Å): 5.8307 5.8307 5.8558
angles (deg): 90.00 90.00 90.00
Space group P4/mmm (No. 123)
Asymmetric unit:
1 Sr 0.0000 0.0000 0.0000
2 Sb 0.5000 0.5000 0.0000
3 Te 0.0000 0.5000 0.5000
4 I 0.5000 0.5000 0.5000

No. 2
This record from Alexandria describes an optimized crystal structure of Sr6Sb2TeI3. The functional is PBE-GGA.

For the uncorrected formation energy, the calculation gives -1371.6 meV/atom. Its volume is 946.4 Å³/cell.

a b c (Å): 20.9246 4.8335 9.5903
angles (deg): 90.00 102.66 90.00
Space group C2/m (No. 12)
Asymmetric unit:
1 Sr 0.0090 0.0000 0.2391
2 Sr 0.1624 0.5000 0.1033
3 Sr 0.1746 0.5000 0.5611
4 Sb 0.1661 0.0000 0.3290
5 Te 0.0000 0.5000 0.0000
6 I 0.0000 0.5000 0.5000
7 I 0.1632 0.0000 0.8319

No. 3
This record from Alexandria describes an optimized crystal structure of SrSb2TeI. The functional is PBE-GGA.

For the uncorrected formation energy, the calculation gives 539.5 meV/atom. Its volume is 232.0 Å³/cell.

a b c (Å): 6.2419 6.2419 5.9553
angles (deg): 90.00 90.00 90.00
Space group P4/mmm (No. 123)
Asymmetric unit:
1 Sr 0.0000 0.0000 0.0000
2 Sb 0.0000 0.5000 0.0000
3 Te 0.0000 0.0000 0.5000
4 I 0.5000 0.5000 0.5000

No. 4
This record from Alexandria describes an optimized crystal structure of SrSbTe2I. The functional is PBE-GGA.

For the uncorrected formation energy, the calculation gives 170.2 meV/atom. Its volume is 232.1 Å³/cell.

a b c (Å): 6.2317 6.2317 5.9769
angles (deg): 90.00 90.00 90.00
Space group P4/mmm (No. 123)
Asymmetric unit:
1 Sr 0.0000 0.0000 0.0000
2 Sb 0.5000 0.5000 0.5000
3 Te 0.0000 0.5000 0.0000
4 I 0.0000 0.0000 0.5000

No. 5
This record from Alexandria describes an optimized crystal structure of SrSbTe2I. The functional is PBE-GGA.

For the uncorrected formation energy, the calculation gives 374.1 meV/atom. Its volume is 235.4 Å³/cell.

a b c (Å): 6.0569 6.0569 6.4165
angles (deg): 90.00 90.00 90.00
Space group P4/mmm (No. 123)
Asymmetric unit:
1 Sr 0.0000 0.0000 0.0000
2 Sb 0.0000 0.0000 0.5000
3 Te 0.0000 0.5000 0.0000
4 I 0.5000 0.5000 0.5000

No. 6
This record from Alexandria describes an optimized crystal structure of SrSbTe2I. The functional is PBE-GGA.

For the uncorrected formation energy, the calculation gives -451.8 meV/atom. Its volume is 201.6 Å³/cell.

a b c (Å): 5.8708 5.8708 5.8499
angles (deg): 90.00 90.00 90.00
Space group P4/mmm (No. 123)
Asymmetric unit:
1 Sr 0.0000 0.0000 0.0000
2 Sb 0.5000 0.5000 0.5000
3 Te 0.0000 0.5000 0.5000
4 I 0.5000 0.5000 0.0000

No. 7
This record from Alexandria describes an optimized crystal structure of SrTiSb2I. The functional is PBE-GGA.

For the uncorrected formation energy, the calculation gives 895.9 meV/atom. Its volume is 216.8 Å³/cell.

a b c (Å): 6.0125 6.0125 5.9970
angles (deg): 90.00 90.00 90.00
Space group P4/mmm (No. 123)
Asymmetric unit:
1 Sr 0.0000 0.0000 0.0000
2 Ti 0.5000 0.5000 0.5000
3 Sb 0.0000 0.5000 0.0000
4 I 0.0000 0.0000 0.5000

No. 8
This record from Alexandria describes an optimized crystal structure of SrTiSb2I. The functional is PBE-GGA.

For the uncorrected formation energy, the calculation gives -483.0 meV/atom. Its volume is 163.7 Å³/cell.

a b c (Å): 5.2772 5.2772 5.8791
angles (deg): 90.00 90.00 90.00
Space group P4/mmm (No. 123)
Asymmetric unit:
1 Sr 0.0000 0.0000 0.0000
2 Ti 0.5000 0.5000 0.5000
3 Sb 0.0000 0.5000 0.5000
4 I 0.5000 0.5000 0.0000

No. 9
This record from Alexandria describes an optimized crystal structure of SrTlSb2I. The functional is PBE-GGA.

For the uncorrected formation energy, the calculation gives 130.1 meV/atom. Its volume is 249.6 Å³/cell.

a b c (Å): 6.2707 6.2707 6.3469
angles (deg): 90.00 90.00 90.00
Space group P4/mmm (No. 123)
Asymmetric unit:
1 Sr 0.0000 0.0000 0.0000
2 Tl 0.5000 0.5000 0.5000
3 Sb 0.0000 0.5000 0.0000
4 I 0.0000 0.0000 0.5000

No. 10
This record from Alexandria describes an optimized crystal structure of SrTlSbI6. The functional is PBE-GGA.

For the uncorrected formation energy, the calculation gives -853.0 meV/atom. Its volume is 879.1 Å³/cell.

a b c (Å): 8.1445 14.1223 7.6430
angles (deg): 90.00 90.08 90.00
Space group C2 (No. 5)
Asymmetric unit:
1 Sr 0.0000 0.0000 0.0000
2 Tl 0.0000 0.6664 0.5000
3 Sb 0.0000 0.3331 0.0000
4 I 0.1419 0.1779 0.7649
5 I 0.1615 0.4817 0.7648
6 I 0.1955 0.8398 0.7651

No. 11
This record from Alexandria describes an optimized crystal structure of SrTlSb2I. The functional is PBE-GGA.

For the uncorrected formation energy, the calculation gives -13.0 meV/atom. Its volume is 205.0 Å³/cell.

a b c (Å): 5.6352 5.6352 6.4550
angles (deg): 90.00 90.00 90.00
Space group P4/mmm (No. 123)
Asymmetric unit:
1 Sr 0.0000 0.0000 0.0000
2 Tl 0.5000 0.5000 0.5000
3 Sb 0.0000 0.5000 0.5000
4 I 0.5000 0.5000 0.0000

No. 12
This record from Alexandria describes an optimized crystal structure of SrVSbI2. The functional is PBE-GGA.

For the uncorrected formation energy, the calculation gives -393.5 meV/atom. Its volume is 170.1 Å³/cell.

a b c (Å): 5.6386 5.6386 5.3486
angles (deg): 90.00 90.00 90.00
Space group P4/mmm (No. 123)
Asymmetric unit:
1 Sr 0.0000 0.0000 0.0000
2 V 0.5000 0.5000 0.5000
3 Sb 0.5000 0.5000 0.0000
4 I 0.0000 0.5000 0.5000

No. 13
This record from Alexandria describes an optimized crystal structure of SrVSb2I. The functional is PBE-GGA.

For the uncorrected formation energy, the calculation gives -295.7 meV/atom. Its volume is 159.9 Å³/cell.

a b c (Å): 5.1521 5.1521 6.0227
angles (deg): 90.00 90.00 90.00
Space group P4/mmm (No. 123)
Asymmetric unit:
1 Sr 0.0000 0.0000 0.0000
2 V 0.5000 0.5000 0.5000
3 Sb 0.0000 0.5000 0.5000
4 I 0.5000 0.5000 0.0000

No. 14
This record from Alexandria describes an optimized crystal structure of SrSb2WI. The functional is PBE-GGA.

For the uncorrected formation energy, the calculation gives 1910.4 meV/atom. Its volume is 216.7 Å³/cell.

a b c (Å): 6.0460 6.0460 5.9293
angles (deg): 90.00 90.00 90.00
Space group P4/mmm (No. 123)
Asymmetric unit:
1 Sr 0.0000 0.0000 0.0000
2 Sb 0.0000 0.5000 0.0000
3 W 0.5000 0.5000 0.5000
4 I 0.0000 0.0000 0.5000

No. 15
This record from Alexandria describes an optimized crystal structure of SrSb2WI. The functional is PBE-GGA.

For the uncorrected formation energy, the calculation gives 97.9 meV/atom. Its volume is 165.3 Å³/cell.

a b c (Å): 5.2259 5.2259 6.0513
angles (deg): 90.00 90.00 90.00
Space group P4/mmm (No. 123)
Asymmetric unit:
1 Sr 0.0000 0.0000 0.0000
2 Sb 0.0000 0.5000 0.5000
3 W 0.5000 0.5000 0.5000
4 I 0.5000 0.5000 0.0000

No. 16
This record from Alexandria describes an optimized crystal structure of SrYSb2I. The functional is PBE-GGA.

For the uncorrected formation energy, the calculation gives 175.5 meV/atom. Its volume is 208.8 Å³/cell.

a b c (Å): 5.9394 5.9394 5.9180
angles (deg): 90.00 90.00 90.00
Space group P4/mmm (No. 123)
Asymmetric unit:
1 Sr 0.0000 0.0000 0.0000
2 Y 0.5000 0.5000 0.5000
3 Sb 0.0000 0.5000 0.0000
4 I 0.0000 0.0000 0.5000

No. 17
This record from Alexandria describes an optimized crystal structure of SrYSb2I. The functional is PBE-GGA.

For the uncorrected formation energy, the calculation gives -584.8 meV/atom. Its volume is 202.5 Å³/cell.

a b c (Å): 5.7848 5.7848 6.0515
angles (deg): 90.00 90.00 90.00
Space group P4/mmm (No. 123)
Asymmetric unit:
1 Sr 0.0000 0.0000 0.0000
2 Y 0.5000 0.5000 0.5000
3 Sb 0.0000 0.5000 0.5000
4 I 0.5000 0.5000 0.0000

No. 18
This record from Alexandria describes an optimized crystal structure of SrZrSbI2. The functional is PBE-GGA.

For the uncorrected formation energy, the calculation gives -575.1 meV/atom. Its volume is 187.4 Å³/cell.

a b c (Å): 5.7017 5.7017 5.7634
angles (deg): 90.00 90.00 90.00
Space group P4/mmm (No. 123)
Asymmetric unit:
1 Sr 0.0000 0.0000 0.0000
2 Zr 0.5000 0.5000 0.5000
3 Sb 0.5000 0.5000 0.0000
4 I 0.0000 0.5000 0.5000

No. 19
This record from Alexandria describes an optimized crystal structure of SrZrSbI2. The functional is PBE-GGA.

For the uncorrected formation energy, the calculation gives 351.1 meV/atom. Its volume is 235.1 Å³/cell.

a b c (Å): 6.0137 6.0137 6.5011
angles (deg): 90.00 90.00 90.00
Space group P4/mmm (No. 123)
Asymmetric unit:
1 Sr 0.0000 0.0000 0.0000
2 Zr 0.5000 0.5000 0.5000
3 Sb 0.0000 0.0000 0.5000
4 I 0.0000 0.5000 0.0000

No. 20
This record from Alexandria describes an optimized crystal structure of SrZrSb2I. The functional is PBE-GGA.

For the uncorrected formation energy, the calculation gives -494.4 meV/atom. Its volume is 182.1 Å³/cell.

a b c (Å): 5.5777 5.5777 5.8540
angles (deg): 90.00 90.00 90.00
Space group P4/mmm (No. 123)
Asymmetric unit:
1 Sr 0.0000 0.0000 0.0000
2 Zr 0.5000 0.5000 0.5000
3 Sb 0.0000 0.5000 0.5000
4 I 0.5000 0.5000 0.0000